[1]
Below is a relaxed structure of Be3Ir2Rh, with properties calculated at the PBE level.

Unit cell a=3.953 b=11.901 c=2.797 alpha=90.00 beta=90.00 gamma=90.00
Fractional positions:
1 Be 0.000 0.000 0.000
2 Be 0.000 0.332 0.000
3 Be 0.000 0.668 0.000
4 Be 0.500 0.168 0.000
5 Be 0.500 0.500 0.000
6 Be 0.500 0.832 0.000
7 Ir 0.000 0.166 0.500
8 Ir 0.000 0.834 0.500
9 Ir 0.500 0.334 0.500
10 Ir 0.500 0.666 0.500
11 Rh 0.000 0.500 0.500
12 Rh 0.500 0.000 0.500

Summary:
Formation energy, eV/atom: -0.578
Theoretical density, g cm⁻³: 12.983
N(E_F), states/eV/atom: 0.83
SG: Cmmm, No. 65


[2]
Below is a relaxed structure of GeBiI2, with properties calculated at the PBE level.

Unit cell a=8.670 b=8.670 c=7.240 alpha=90.00 beta=90.00 gamma=90.00
Fractional positions:
1 Ge 0.000 0.000 0.000
2 Ge 0.000 0.500 0.250
3 Ge 0.500 0.000 0.750
4 Ge 0.500 0.500 0.500
5 Bi 0.000 0.000 0.500
6 Bi 0.000 0.500 0.750
7 Bi 0.500 0.000 0.250
8 Bi 0.500 0.500 0.000
9 I 0.225 0.250 0.125
10 I 0.250 0.725 0.375
11 I 0.250 0.775 0.875
12 I 0.275 0.250 0.625
13 I 0.725 0.750 0.625
14 I 0.750 0.225 0.875
15 I 0.750 0.275 0.375
16 I 0.775 0.750 0.125

Summary:
Theoretical density, g cm⁻³: 6.535
N(E_F), states/eV/atom: 0.69
SG: I-42d, No. 122
Raw formation energy, kJ per mole of atoms: 26


The lowest N(E_F) belongs to which entry? GeBiI2


Which of these has the lowest N(E_F)? GeBiI2


N(E_F) of number 1 (Be3Ir2Rh)? 0.83 states/eV/atom


The highest theoretical density belongs to which entry? Be3Ir2Rh